# SiRu2Se, relaxed, DFT PBE
# DFT total energy = -6.64 eV/atom
# DOS at the Fermi energy = 3.8 states/eV/f.u.
# Spin magnetization = 0.0 Bohr magnetons per cell
# Energy relative to the elements, uncorrected = 0.227 eV per atom
data_SiRu2Se
_cell_length_a 3.594
_cell_length_b 3.594
_cell_length_c 9.061
_cell_angle_alpha 90.00
_cell_angle_beta 90.00
_cell_angle_gamma 90.00
_space_group_name_H-M_alt 'I -4 m 2'
_space_group_IT_number 119
_space_group_name_Hall 'I -4 -2'
loop_
_atom_site_label
_atom_site_type_symbol
_atom_site_fract_x
_atom_site_fract_y
_atom_site_fract_z
Si1 Si 0.000 0.000 0.000
Ru1 Ru 0.000 0.000 0.500
Ru2 Ru 0.000 0.500 0.750
Se1 Se 0.000 0.500 0.250